First-principles (PBE) data for a relaxed structure of DyHoMg, as listed in OQMD via LeMat-Bulk.

Computed properties:
Final energy in eV/f.u.: -10.9
Energy above the lowest structure with this stoichiometry in meV/atom: 0
Total moment in μB per formula unit: 0.0

Cell lengths 8.7819, 8.7819, 5.4536 Å; angles 90.00, 90.00, 156.03 degrees
Last column: nearest neighbours and their distance in Å.
Sites, in units of the cell vectors:
Dy 0.9064 0.0936 0.2500  6 Mg 3.28-3.32, 4 Ho 3.55-3.59, 2 Dy 3.65
Dy 0.0936 0.9064 0.7500  6 Mg 3.28-3.32, 4 Ho 3.55-3.59, 2 Dy 3.65
Ho 0.2263 0.7737 0.2500  2 Mg 3.32, 6 Ho 3.38-3.65, 4 Dy 3.55-3.59
Ho 0.7737 0.2263 0.7500  2 Mg 3.32, 6 Ho 3.38-3.65, 4 Dy 3.55-3.59
Mg 0.5651 0.4349 0.2500  6 Dy 3.28-3.32, 2 Ho 3.32, 4 Mg 3.53-3.65
Mg 0.4349 0.5651 0.7500  6 Dy 3.28-3.32, 2 Ho 3.32, 4 Mg 3.53-3.65